No. 1
# Pu2GaBr, relaxed, DFT PBE
data_Pu2GaBr
_symmetry_space_group_name_H-M 'P 4/m m m'
_symmetry_Int_Tables_number 123
_symmetry_space_group_name_Hall '-P 4 2'
_cell_length_a 3.426
_cell_length_b 3.426
_cell_length_c 8.220
_cell_angle_alpha 90.00
_cell_angle_beta 90.00
_cell_angle_gamma 90.00
loop_
_atom_site_label
_atom_site_type_symbol
_atom_site_fract_x
_atom_site_fract_y
_atom_site_fract_z
Pu1 Pu 0.000 0.000 0.228
Ga1 Ga 0.500 0.500 0.000
Br1 Br 0.500 0.500 0.500
# Energy relative to the elements, uncorrected, meV/atom: -538.5
# DOS at the Fermi energy, states/eV/atom: 3.250

***

No. 2
# Ho2Fe17B3, relaxed, DFT PBE
data_Ho2Fe17B3
_symmetry_space_group_name_H-M 'R -3 m'
_symmetry_Int_Tables_number 166
_symmetry_space_group_name_Hall '-R 3 2"'
_cell_length_a 8.6845
_cell_length_b 8.6845
_cell_length_c 12.4868
_cell_angle_alpha 90.00
_cell_angle_beta 90.00
_cell_angle_gamma 120.00
loop_
_atom_site_label
_atom_site_type_symbol
_atom_site_fract_x
_atom_site_fract_y
_atom_site_fract_z
Ho1 Ho 0.0000 0.0000 0.1568
Fe1 Fe 0.0000 0.0000 0.4035
Fe2 Fe 0.0000 0.2789 0.5000
Fe3 Fe 0.0000 0.5000 0.0000
Fe4 Fe 0.0064 0.5032 0.3427
B1 B 0.0000 0.5000 0.5000
# DOS at the Fermi energy, states/eV/atom: 0.704

***

No. 3
# Nd4Sm3Sb4, relaxed, DFT PBE
data_Nd4Sm3Sb4
_symmetry_space_group_name_H-M 'I m m m'
_symmetry_Int_Tables_number 71
_symmetry_space_group_name_Hall '-I 2 2'
_cell_length_a 4.364
_cell_length_b 4.455
_cell_length_c 37.175
_cell_angle_alpha 90.00
_cell_angle_beta 90.00
_cell_angle_gamma 90.00
loop_
_atom_site_label
_atom_site_type_symbol
_atom_site_fract_x
_atom_site_fract_y
_atom_site_fract_z
Nd1 Nd 0.000 0.000 0.096
Nd2 Nd 0.000 0.500 0.250
Sm1 Sm 0.000 0.000 0.340
Sm2 Sm 0.000 0.500 0.500
Sb1 Sb 0.000 0.000 0.184
Sb2 Sb 0.000 0.500 0.039
# Energy relative to the elements, uncorrected, meV/atom: -598.1
# DOS at the Fermi energy, states/eV/atom: 0.817

***

No. 4
# ZrInI2N, relaxed, DFT PBE
data_ZrInI2N
_symmetry_space_group_name_H-M 'P 4/m m m'
_symmetry_Int_Tables_number 123
_symmetry_space_group_name_Hall '-P 4 2'
_cell_length_a 6.082
_cell_length_b 6.082
_cell_length_c 4.067
_cell_angle_alpha 90.00
_cell_angle_beta 90.00
_cell_angle_gamma 90.00
loop_
_atom_site_label
_atom_site_type_symbol
_atom_site_fract_x
_atom_site_fract_y
_atom_site_fract_z
Zr1 Zr 0.000 0.000 0.000
In1 In 0.500 0.500 0.500
I1 I 0.000 0.500 0.000
N1 N 0.000 0.000 0.500
# Energy relative to the elements, uncorrected, meV/atom: -353.7
# DOS at the Fermi energy, states/eV/atom: 0.304

***

No. 5
# LaTb6Nd10, relaxed, DFT PBE
data_LaTb6Nd10
_symmetry_space_group_name_H-M 'P -3 1 m'
_symmetry_Int_Tables_number 162
_symmetry_space_group_name_Hall '-P 3 2'
_cell_length_a 9.9206
_cell_length_b 9.9206
_cell_length_c 6.9521
_cell_angle_alpha 90.00
_cell_angle_beta 90.00
_cell_angle_gamma 120.00
loop_
_atom_site_label
_atom_site_type_symbol
_atom_site_fract_x
_atom_site_fract_y
_atom_site_fract_z
La1 La 0.0000 0.0000 0.0000
Tb1 Tb 0.0000 0.3730 0.8065
Nd1 Nd 0.0000 0.2766 0.3181
Nd2 Nd 0.3333 0.6667 0.0000
Nd3 Nd 0.3333 0.6667 0.5000
# DOS at the Fermi energy, states/eV/atom: 1.541

***

No. 6
# Ce3Pr4ErTe8, relaxed, DFT PBE
data_Ce3Pr4ErTe8
_symmetry_space_group_name_H-M 'R -3 m'
_symmetry_Int_Tables_number 166
_symmetry_space_group_name_Hall '-R 3 2"'
_cell_length_a 8.9628
_cell_length_b 8.9628
_cell_length_c 22.0914
_cell_angle_alpha 90.00
_cell_angle_beta 90.00
_cell_angle_gamma 120.00
loop_
_atom_site_label
_atom_site_type_symbol
_atom_site_fract_x
_atom_site_fract_y
_atom_site_fract_z
Ce1 Ce 0.0000 0.5000 0.0000
Pr1 Pr 0.0000 0.0000 0.5000
Pr2 Pr 0.0000 0.5000 0.5000
Er1 Er 0.0000 0.0000 0.0000
Te1 Te 0.0000 0.0000 0.2511
Te2 Te 0.0066 0.5033 0.7472
# Energy relative to the elements, uncorrected, meV/atom: -1388.1
# DOS at the Fermi energy, states/eV/atom: 1.638

***

No. 7
# ZnAgAu2, relaxed, DFT PBE
data_ZnAgAu2
_symmetry_space_group_name_H-M 'I m m m'
_symmetry_Int_Tables_number 71
_symmetry_space_group_name_Hall '-I 2 2'
_cell_length_a 2.890
_cell_length_b 4.775
_cell_length_c 10.795
_cell_angle_alpha 90.00
_cell_angle_beta 90.00
_cell_angle_gamma 90.00
loop_
_atom_site_label
_atom_site_type_symbol
_atom_site_fract_x
_atom_site_fract_y
_atom_site_fract_z
Zn1 Zn 0.000 0.000 0.000
Ag1 Ag 0.000 0.000 0.500
Au1 Au 0.000 0.000 0.240
# DOS at the Fermi energy, states/eV/atom: 0.250

***

No. 8
# Hf2TiP, relaxed, DFT PBE
data_Hf2TiP
_symmetry_space_group_name_H-M 'I -4 2 d'
_symmetry_Int_Tables_number 122
_symmetry_space_group_name_Hall 'I -4 2bw'
_cell_length_a 7.820
_cell_length_b 7.820
_cell_length_c 5.226
_cell_angle_alpha 90.00
_cell_angle_beta 90.00
_cell_angle_gamma 90.00
loop_
_atom_site_label
_atom_site_type_symbol
_atom_site_fract_x
_atom_site_fract_y
_atom_site_fract_z
Hf1 Hf 0.189 0.250 0.125
Ti1 Ti 0.000 0.000 0.500
P1 P 0.000 0.000 0.000
# DOS at the Fermi energy, states/eV/atom: 1.439

***

No. 9
# Ga3CuF, relaxed, DFT PBE
data_Ga3CuF
_symmetry_space_group_name_H-M 'P m -3 m'
_symmetry_Int_Tables_number 221
_symmetry_space_group_name_Hall '-P 4 2 3'
_cell_length_a 4.652
_cell_length_b 4.652
_cell_length_c 4.652
_cell_angle_alpha 90.00
_cell_angle_beta 90.00
_cell_angle_gamma 90.00
loop_
_atom_site_label
_atom_site_type_symbol
_atom_site_fract_x
_atom_site_fract_y
_atom_site_fract_z
Ga1 Ga 0.000 0.000 0.500
Cu1 Cu 0.000 0.000 0.000
F1 F 0.500 0.500 0.500
# Energy relative to the elements, uncorrected, meV/atom: -323.9
# DOS at the Fermi energy, states/eV/atom: 0.400

***

No. 10
# RhC2, relaxed, DFT PBE
data_RhC2
_symmetry_space_group_name_H-M 'P -3 m 1'
_symmetry_Int_Tables_number 164
_symmetry_space_group_name_Hall '-P 3 2"'
_cell_length_a 2.9463
_cell_length_b 2.9463
_cell_length_c 12.8291
_cell_angle_alpha 90.00
_cell_angle_beta 90.00
_cell_angle_gamma 120.00
loop_
_atom_site_label
_atom_site_type_symbol
_atom_site_fract_x
_atom_site_fract_y
_atom_site_fract_z
Rh1 Rh 0.0000 0.0000 0.0000
Rh2 Rh 0.3333 0.6667 0.6478
C1 C 0.0000 0.0000 0.4453
C2 C 0.3333 0.6667 0.7996
C3 C 0.3333 0.6667 0.9000
# DOS at the Fermi energy, states/eV/atom: 0.449

***

No. 11
# ScInCo, relaxed, DFT PBE
data_ScInCo
_symmetry_space_group_name_H-M 'F -4 3 m'
_symmetry_Int_Tables_number 216
_symmetry_space_group_name_Hall 'F -4 2 3'
_cell_length_a 6.188
_cell_length_b 6.188
_cell_length_c 6.188
_cell_angle_alpha 90.00
_cell_angle_beta 90.00
_cell_angle_gamma 90.00
loop_
_atom_site_label
_atom_site_type_symbol
_atom_site_fract_x
_atom_site_fract_y
_atom_site_fract_z
Sc1 Sc 0.000 0.000 0.000
In1 In 0.000 0.000 0.500
Co1 Co 0.250 0.250 0.750
# DOS at the Fermi energy, states/eV/atom: 0.666

***

No. 12
# Cd5Fe, relaxed, DFT PBE
data_Cd5Fe
_symmetry_space_group_name_H-M 'C m m m'
_symmetry_Int_Tables_number 65
_symmetry_space_group_name_Hall '-C 2 2'
_cell_length_a 4.342
_cell_length_b 12.657
_cell_length_c 4.319
_cell_angle_alpha 90.00
_cell_angle_beta 90.00
_cell_angle_gamma 90.00
loop_
_atom_site_label
_atom_site_type_symbol
_atom_site_fract_x
_atom_site_fract_y
_atom_site_fract_z
Cd1 Cd 0.000 0.000 0.000
Cd2 Cd 0.000 0.162 0.500
Cd3 Cd 0.000 0.343 0.000
Fe1 Fe 0.000 0.500 0.500
# DOS at the Fermi energy, states/eV/atom: 0.438

***

No. 13
# NdY7Ho12, relaxed, DFT PBE
data_NdY7Ho12
_symmetry_space_group_name_H-M 'I m -3 m'
_symmetry_Int_Tables_number 229
_symmetry_space_group_name_Hall '-I 4 2 3'
_cell_length_a 11.236
_cell_length_b 11.236
_cell_length_c 11.236
_cell_angle_alpha 90.00
_cell_angle_beta 90.00
_cell_angle_gamma 90.00
loop_
_atom_site_label
_atom_site_type_symbol
_atom_site_fract_x
_atom_site_fract_y
_atom_site_fract_z
Nd1 Nd 0.000 0.000 0.000
Y1 Y 0.000 0.000 0.500
Y2 Y 0.250 0.250 0.250
Ho1 Ho 0.000 0.255 0.255
# DOS at the Fermi energy, states/eV/atom: 1.321

***

No. 14
# Na2MnS3, relaxed, DFT PBE
data_Na2MnS3
_symmetry_space_group_name_H-M 'C 1 2/c 1'
_symmetry_Int_Tables_number 15
_cell_length_a 11.226
_cell_length_b 7.280
_cell_length_c 6.362
_cell_angle_alpha 90.00
_cell_angle_beta 99.84
_cell_angle_gamma 90.00
loop_
_symmetry_equiv_pos_as_xyz
'x,y,z'
'-x,-y,-z'
'-x,y,-z+1/2'
'x,-y,z+1/2'
'x+1/2,y+1/2,z'
'-x+1/2,-y+1/2,-z'
'-x+1/2,y+1/2,-z+1/2'
'x+1/2,-y+1/2,z+1/2'
loop_
_atom_site_label
_atom_site_type_symbol
_atom_site_fract_x
_atom_site_fract_y
_atom_site_fract_z
Na1 Na 0.157 0.161 0.174
Mn1 Mn 0.000 0.418 0.750
S1 S 0.000 0.118 0.750
S2 S 0.138 0.459 0.516
# Energy relative to the elements, uncorrected, meV/atom: -787.3
# DOS at the Fermi energy, states/eV/atom: 0.257

***

No. 15
# RbNdIrO6, relaxed, DFT PBE
data_RbNdIrO6
_symmetry_space_group_name_H-M 'P 3 1 2'
_symmetry_Int_Tables_number 149
_cell_length_a 5.8011
_cell_length_b 5.8011
_cell_length_c 6.0830
_cell_angle_alpha 90.00
_cell_angle_beta 90.00
_cell_angle_gamma 120.00
loop_
_symmetry_equiv_pos_as_xyz
'x,y,z'
'-y,x-y,z'
'-x+y,-x,z'
'-y,-x,-z'
'-x+y,y,-z'
'x,x-y,-z'
loop_
_atom_site_label
_atom_site_type_symbol
_atom_site_fract_x
_atom_site_fract_y
_atom_site_fract_z
Rb1 Rb 0.0000 0.0000 0.0000
Nd1 Nd 0.3333 0.6667 0.5000
Ir1 Ir 0.6667 0.3333 0.5000
O1 O 0.4088 0.0566 0.6793
# Energy relative to the elements, uncorrected, meV/atom: -1408.3
# DOS at the Fermi energy, states/eV/atom: 0.611

***

No. 16
# Li4In4Pb3, relaxed, DFT PBE
data_Li4In4Pb3
_symmetry_space_group_name_H-M 'P -1'
_symmetry_Int_Tables_number 2
_cell_length_a 3.600
_cell_length_b 3.972
_cell_length_c 18.684
_cell_angle_alpha 84.39
_cell_angle_beta 84.89
_cell_angle_gamma 89.90
loop_
_symmetry_equiv_pos_as_xyz
'x,y,z'
'-x,-y,-z'
loop_
_atom_site_label
_atom_site_type_symbol
_atom_site_fract_x
_atom_site_fract_y
_atom_site_fract_z
Li1 Li 0.045 0.045 0.410
Li2 Li 0.314 0.315 0.870
In1 In 0.229 0.229 0.045
In2 In 0.412 0.412 0.675
Pb1 Pb 0.137 0.136 0.224
Pb2 Pb 0.500 0.500 0.500
# DOS at the Fermi energy, states/eV/atom: 0.313

***

No. 17
# SrIn2S2, relaxed, DFT PBE
data_SrIn2S2
_symmetry_space_group_name_H-M 'I 4/m m m'
_symmetry_Int_Tables_number 139
_symmetry_space_group_name_Hall '-I 4 2'
_cell_length_a 5.359
_cell_length_b 5.359
_cell_length_c 9.332
_cell_angle_alpha 90.00
_cell_angle_beta 90.00
_cell_angle_gamma 90.00
loop_
_atom_site_label
_atom_site_type_symbol
_atom_site_fract_x
_atom_site_fract_y
_atom_site_fract_z
Sr1 Sr 0.000 0.000 0.000
In1 In 0.000 0.000 0.346
S1 S 0.000 0.500 0.250
# Energy relative to the elements, uncorrected, meV/atom: -602.7
# DOS at the Fermi energy, states/eV/atom: 0.647

***

No. 18
# BaNiAg2, relaxed, DFT PBE
data_BaNiAg2
_symmetry_space_group_name_H-M 'P 4/m m m'
_symmetry_Int_Tables_number 123
_symmetry_space_group_name_Hall '-P 4 2'
_cell_length_a 4.267
_cell_length_b 4.267
_cell_length_c 5.089
_cell_angle_alpha 90.00
_cell_angle_beta 90.00
_cell_angle_gamma 90.00
loop_
_atom_site_label
_atom_site_type_symbol
_atom_site_fract_x
_atom_site_fract_y
_atom_site_fract_z
Ba1 Ba 0.000 0.000 0.000
Ni1 Ni 0.500 0.500 0.000
Ag1 Ag 0.000 0.500 0.500
# DOS at the Fermi energy, states/eV/atom: 0.611

***

No. 19
# Ac3Ga4Hg2, relaxed, DFT PBE
data_Ac3Ga4Hg2
_symmetry_space_group_name_H-M 'C 1 2/m 1'
_symmetry_Int_Tables_number 12
_cell_length_a 11.918
_cell_length_b 4.678
_cell_length_c 9.270
_cell_angle_alpha 90.00
_cell_angle_beta 104.61
_cell_angle_gamma 90.00
loop_
_symmetry_equiv_pos_as_xyz
'x,y,z'
'-x,-y,-z'
'-x,y,-z'
'x,-y,z'
'x+1/2,y+1/2,z'
'-x+1/2,-y+1/2,-z'
'-x+1/2,y+1/2,-z'
'x+1/2,-y+1/2,z'
loop_
_atom_site_label
_atom_site_type_symbol
_atom_site_fract_x
_atom_site_fract_y
_atom_site_fract_z
Ac1 Ac 0.000 0.000 0.000
Ac2 Ac 0.172 0.500 0.666
Ga1 Ga 0.068 0.000 0.414
Ga2 Ga 0.203 0.500 0.026
Hg1 Hg 0.101 0.500 0.271
# DOS at the Fermi energy, states/eV/atom: 0.590

***

No. 20
# Zn2CrTe, relaxed, DFT PBE
data_Zn2CrTe
_symmetry_space_group_name_H-M 'I m m 2'
_symmetry_Int_Tables_number 44
_cell_length_a 4.108
_cell_length_b 4.141
_cell_length_c 8.611
_cell_angle_alpha 90.00
_cell_angle_beta 90.00
_cell_angle_gamma 90.00
loop_
_symmetry_equiv_pos_as_xyz
'x,y,z'
'-x,-y,z'
'-x,y,z'
'x,-y,z'
'x+1/2,y+1/2,z+1/2'
'-x+1/2,-y+1/2,z+1/2'
'-x+1/2,y+1/2,z+1/2'
'x+1/2,-y+1/2,z+1/2'
loop_
_atom_site_label
_atom_site_type_symbol
_atom_site_fract_x
_atom_site_fract_y
_atom_site_fract_z
Zn1 Zn 0.000 0.000 0.000
Zn2 Zn 0.000 0.500 0.250
Cr1 Cr 0.000 0.500 0.749
Te1 Te 0.000 0.000 0.499
# Energy relative to the elements, uncorrected, meV/atom: 263.5
# DOS at the Fermi energy, states/eV/atom: 0.567

***

Listing energy for the structures above in their given order: -8.88; -7.95; -5.12; -4.90; -4.60; -5.55; -2.60; -8.44; -3.33; -7.61; -5.53; -1.98; -4.52; -4.82; -6.34; -2.87; -3.69; -3.05; -3.31; -3.56 eV per atom.